Entry from Alexandria: an optimized crystal structure of TlTe2WI (PBE).

Cell lengths 5.8853, 6.1665, 5.8853 Å; angles 90.00, 90.00, 90.00 degrees
Last column: nearest neighbours and their distance in Å.
Fractional positions:
1 I 0.0000 0.0000 0.0000  4 Te 2.94, 2 Tl 3.08
2 Tl 0.0000 0.5000 0.0000  2 I 3.08
3 Te 0.0000 0.0000 0.5000  2 I 2.94
4 Te 0.5000 0.0000 0.0000  2 I 2.94
5 W 0.5000 0.5000 0.5000  4 Tl 4.16, 8 Te 4.26

* magnetic moment: 1.0232 μB/atom
* ΔE_f (raw): 8.8 eV/f.u.
* E: -14.35 eV/cell
* symmetry: No. 123